Entry 1:
The following is a PBE-GGA calculation of a relaxed ZrNiAg4 crystal, from Alexandria.

The space group is F-43m (No. 216) and the conventional cell measures 7.5932, 7.5932 and 7.5932 Å, with angles of 90.00, 90.00 and 90.00 degrees. The asymmetric unit holds Zr at (0.0000, 0.0000, 0.0000), Ni at (0.2500, 0.2500, 0.2500) and Ag at (0.1246, 0.1246, 0.6246).

The value obtained for the energy relative to the elements is 242 meV/atom. As for the total energy: -4.047 eV/atom. The total magnetization comes out at 0.0000 μB per atom.

***

Entry 2:
The following is a PBE-GGA calculation of a relaxed CrCdTe2Pt crystal, from Alexandria.

The space group is P4/mmm (No. 123) and the conventional cell measures 4.9629, 4.9629 and 5.0772 Å, with angles of 90.00, 90.00 and 90.00 degrees. The asymmetric unit holds Cr at (0.0000, 0.0000, 0.0000), Cd at (0.0000, 0.0000, 0.5000), Te at (0.0000, 0.5000, 0.0000) and Pt at (0.5000, 0.5000, 0.5000).

Its formation energy without anion corrections is 0.74 eV/atom. As for the total energy: -3.833 eV/atom. The total magnetization comes out at 0.3206 μB per atom.

***

Entry 3:
The following is a PBE-GGA calculation of a relaxed ZrTaSb2 crystal, from Alexandria.

The space group is Cm (No. 8) and the conventional cell measures 10.2641, 3.6346 and 4.8262 Å, with angles of 90.00, 100.92 and 90.00 degrees. The asymmetric unit holds Zr at (0.0000, 0.0000, 0.0000), Ta at (0.2973, 0.5000, 0.4084), Sb at (0.0199, 0.5000, 0.5056) and Sb at (0.2733, 0.0000, 0.9014).

Its formation energy without anion corrections is -0.22 eV/atom. As for the total energy: -7.383 eV/atom. The calculation puts the energy above the lowest structure with this stoichiometry at 66.8 meV per atom. The total magnetization comes out at 0.0000 μB per atom.

***

Entry 4:
The following is a PBE-GGA calculation of a relaxed ZrSn3Ru crystal, from Alexandria.

The space group is Pm-3m (No. 221) and the conventional cell measures 5.1962, 5.1962 and 5.1962 Å, with angles of 90.00, 90.00 and 90.00 degrees. The asymmetric unit holds Zr at (0.0000, 0.0000, 0.0000), Sn at (0.0000, 0.5000, 0.5000) and Ru at (0.5000, 0.5000, 0.5000).

The value obtained for the energy relative to the elements is 508 meV/atom. As for the total energy: -5.459 eV/atom. The calculation puts the energy above the lowest structure with this stoichiometry at 0.0 meV per atom. The total magnetization comes out at 0.2440 μB per atom.

***

Entry 5:
The following is a PBE-GGA calculation of a relaxed FeTeP2Cl crystal, from Alexandria.

The space group is P4/mmm (No. 123) and the conventional cell measures 4.4797, 4.4797 and 4.5644 Å, with angles of 90.00, 90.00 and 90.00 degrees. The asymmetric unit holds Fe at (0.0000, 0.0000, 0.0000), Te at (0.5000, 0.5000, 0.5000), P at (0.0000, 0.5000, 0.0000) and Cl at (0.0000, 0.0000, 0.5000).

Its formation energy without anion corrections is 0.35 eV/atom. As for the total energy: -4.506 eV/atom. The calculation puts the energy above the lowest structure with this stoichiometry at 0.0 meV per atom. The total magnetization comes out at 0.0000 μB per atom.

***

Entry 6:
The following is a PBE-GGA calculation of a relaxed LiEr2MgIn4 crystal, from Alexandria.

The space group is R-3m (No. 166, hexagonal axes) and the conventional cell measures 5.1515, 5.1515 and 25.1648 Å, with angles of 90.00, 90.00 and 120.00 degrees. The asymmetric unit holds Li at (0.0000, 0.0000, 0.0000), Er at (0.0000, 0.0000, 0.2477), Mg at (0.0000, 0.0000, 0.5000), In at (0.0000, 0.0000, 0.1220) and In at (0.0000, 0.0000, 0.3723).

The value obtained for the energy relative to the elements is -318 meV/atom. As for the total energy: -3.266 eV/atom. The total magnetization comes out at 0.0000 μB per atom.

***

Entry 7:
The following is a PBE-GGA calculation of a relaxed ErTmSnSe crystal, from Alexandria.

The space group is P4/mmm (No. 123) and the conventional cell measures 4.2167, 4.2167 and 5.9438 Å, with angles of 90.00, 90.00 and 90.00 degrees. The asymmetric unit holds Er at (0.0000, 0.0000, 0.0000), Tm at (0.5000, 0.5000, 0.5000), Sn at (0.5000, 0.5000, 0.0000) and Se at (0.0000, 0.0000, 0.5000).

Its formation energy without anion corrections is -1.18 eV/atom. As for the total energy: -5.314 eV/atom. The total magnetization comes out at 0.0000 μB per atom.

***

Entry 8:
The following is a PBE-GGA calculation of a relaxed PrDy4Y15 crystal, from Alexandria.

The space group is P4/mmm (No. 123) and the conventional cell measures 5.0523, 5.0523 and 25.2612 Å, with angles of 90.00, 90.00 and 90.00 degrees. The asymmetric unit holds Pr at (0.0000, 0.0000, 0.0000), Dy at (0.0000, 0.0000, 0.2011), Dy at (0.0000, 0.0000, 0.4004), Y at (0.0000, 0.5000, 0.1018), Y at (0.0000, 0.5000, 0.3008), Y at (0.0000, 0.5000, 0.5000), Y at (0.5000, 0.5000, 0.0000), Y at (0.5000, 0.5000, 0.2015) and Y at (0.5000, 0.5000, 0.4004).

The value obtained for the energy relative to the elements is 23 meV/atom. As for the total energy: -5.984 eV/atom. The total magnetization comes out at 0.0000 μB per atom.

***

Entry 9:
The following is a PBE-GGA calculation of a relaxed DyScInCo crystal, from Alexandria.

The space group is P4mm (No. 99) and the conventional cell measures 3.2754, 3.2754 and 7.7111 Å, with angles of 90.00, 90.00 and 90.00 degrees. The asymmetric unit holds Dy at (0.0000, 0.0000, 0.0000), Sc at (0.0000, 0.0000, 0.5888), In at (0.5000, 0.5000, 0.3123) and Co at (0.5000, 0.5000, 0.7689).

The value obtained for the energy relative to the elements is -357 meV/atom. As for the total energy: -5.552 eV/atom. The calculation puts the energy above the lowest structure with this stoichiometry at 0.0 meV per atom. The total magnetization comes out at 0.0860 μB per atom.

***

Entry 10:
The following is a PBE-GGA calculation of a relaxed KSr3Tl crystal, from Alexandria.

The space group is Pm-3m (No. 221) and the conventional cell measures 6.8633, 6.8633 and 6.8633 Å, with angles of 90.00, 90.00 and 90.00 degrees. The asymmetric unit holds K at (0.0000, 0.0000, 0.0000), Sr at (0.0000, 0.0000, 0.5000) and Tl at (0.5000, 0.5000, 0.5000).

The value obtained for the energy relative to the elements is 702 meV/atom. As for the total energy: -1.000 eV/atom. The calculation puts the energy above the lowest structure with this stoichiometry at 768.6 meV per atom. The total magnetization comes out at 0.0000 μB per atom.

***

Entry 11:
The following is a PBE-GGA calculation of a relaxed BaLaBe2 crystal, from Alexandria.

The space group is C2/m (No. 12) and the conventional cell measures 10.0719, 4.0803 and 7.6773 Å, with angles of 90.00, 126.69 and 90.00 degrees. The asymmetric unit holds Ba at (0.0000, 0.0000, 0.0000), La at (0.0000, 0.5000, 0.5000) and Be at (0.2385, 0.0000, 0.5402).

The value obtained for the energy relative to the elements is 369 meV/atom. As for the total energy: -3.207 eV/atom. The calculation puts the energy above the lowest structure with this stoichiometry at 115.3 meV per atom. The total magnetization comes out at 0.0089 μB per atom.

***

Entry 12:
The following is a PBE-GGA calculation of a relaxed Sc2AuCl crystal, from Alexandria.

The space group is R-3m (No. 166, hexagonal axes) and the conventional cell measures 3.1541, 3.1541 and 29.1327 Å, with angles of 90.00, 90.00 and 120.00 degrees. The asymmetric unit holds Sc at (0.0000, 0.0000, 0.0941), Au at (0.0000, 0.0000, 0.0000) and Cl at (0.0000, 0.0000, 0.5000).

Its formation energy without anion corrections is -0.41 eV/atom. As for the total energy: -4.853 eV/atom. The calculation puts the energy above the lowest structure with this stoichiometry at 559.6 meV per atom. The total magnetization comes out at 0.0000 μB per atom.